Here is crystalline ReAsAu2 at its relaxed geometry from the Alexandria database. Energies are from PBE.

Output
E_tot: -5.49 eV/atom
space-group type: No. 44

Unit cell a=6.729 b=6.729 c=6.729 alpha=156.66 beta=139.23 gamma=47.50
Element x y z (fractional)
1 Re 0.000 0.000 0.000
2 As 0.174 0.674 0.500
3 Au 0.461 0.461 0.000
4 Au 0.796 0.296 0.500

=====

Here is crystalline Sr12Li3Ag5 at its relaxed geometry from the Alexandria database. Energies are from PBE.

Output
E_tot: -1.93 eV/atom
space-group type: No. 230

Unit cell a=16.943 b=16.943 c=16.943 alpha=109.47 beta=109.47 gamma=109.47
Element x y z (fractional)
1 Sr 0.036 0.211 0.119
2 Sr 0.036 0.325 0.917
3 Sr 0.083 0.619 0.408
4 Sr 0.083 0.964 0.675
5 Sr 0.092 0.711 0.675
6 Sr 0.092 0.881 0.417
7 Sr 0.119 0.036 0.211
8 Sr 0.119 0.583 0.908
9 Sr 0.175 0.211 0.592
10 Sr 0.175 0.464 0.583
11 Sr 0.211 0.119 0.036
12 Sr 0.211 0.592 0.175
13 Sr 0.289 0.325 0.908
14 Sr 0.289 0.464 0.381
15 Sr 0.325 0.908 0.289
16 Sr 0.325 0.917 0.036
17 Sr 0.381 0.289 0.464
18 Sr 0.381 0.592 0.917
19 Sr 0.408 0.083 0.619
20 Sr 0.408 0.825 0.789
21 Sr 0.417 0.092 0.881
22 Sr 0.417 0.825 0.536
23 Sr 0.464 0.381 0.289
24 Sr 0.464 0.583 0.175
25 Sr 0.536 0.417 0.825
26 Sr 0.536 0.619 0.711
27 Sr 0.583 0.175 0.464
28 Sr 0.583 0.908 0.119
29 Sr 0.592 0.175 0.211
30 Sr 0.592 0.917 0.381
31 Sr 0.619 0.408 0.083
32 Sr 0.619 0.711 0.536
33 Sr 0.675 0.083 0.964
34 Sr 0.675 0.092 0.711
35 Sr 0.711 0.536 0.619
36 Sr 0.711 0.675 0.092
37 Sr 0.789 0.408 0.825
38 Sr 0.789 0.881 0.964
39 Sr 0.825 0.536 0.417
40 Sr 0.825 0.789 0.408
41 Sr 0.881 0.417 0.092
42 Sr 0.881 0.964 0.789
43 Sr 0.908 0.119 0.583
44 Sr 0.908 0.289 0.325
45 Sr 0.917 0.036 0.325
46 Sr 0.917 0.381 0.592
47 Sr 0.964 0.675 0.083
48 Sr 0.964 0.789 0.881
49 Li 0.125 0.250 0.375
50 Li 0.125 0.375 0.750
51 Li 0.250 0.375 0.125
52 Li 0.250 0.875 0.625
53 Li 0.375 0.125 0.250
54 Li 0.375 0.750 0.125
55 Li 0.625 0.250 0.875
56 Li 0.625 0.875 0.750
57 Li 0.750 0.125 0.375
58 Li 0.750 0.625 0.875
59 Li 0.875 0.625 0.250
60 Li 0.875 0.750 0.625
61 Ag 0.000 0.000 0.000
62 Ag 0.000 0.000 0.500
63 Ag 0.000 0.500 0.000
64 Ag 0.000 0.500 0.500
65 Ag 0.125 0.750 0.875
66 Ag 0.125 0.875 0.250
67 Ag 0.250 0.125 0.875
68 Ag 0.250 0.625 0.375
69 Ag 0.375 0.250 0.625
70 Ag 0.375 0.625 0.750
71 Ag 0.500 0.000 0.000
72 Ag 0.500 0.000 0.500
73 Ag 0.500 0.500 0.000
74 Ag 0.500 0.500 0.500
75 Ag 0.625 0.375 0.250
76 Ag 0.625 0.750 0.375
77 Ag 0.750 0.375 0.625
78 Ag 0.750 0.875 0.125
79 Ag 0.875 0.125 0.750
80 Ag 0.875 0.250 0.125

=====

Number 1: DOS(E_F) 0.73 states/eV/atom, magnetic moment 0.000 μB per atom. Number 2: DOS(E_F) 0.81 states/eV/atom, magnetic moment 0.000 μB per atom.